VASP calculation (PBE with a Hubbard U) on a geometry-optimized CoAs2HO structure. Values from VASP.

Structure (Quantum ESPRESSO input):
```
&SYSTEM
  ibrav = 0, nat = 5, ntyp = 4
/
ATOMIC_SPECIES
H 1.01 H.upf
As 74.92 As.upf
Co 58.93 Co.upf
O 16.00 O.upf
ATOMIC_POSITIONS angstrom
H 0.000 0.000 0.000
As 0.000 0.000 2.281
As 2.281 0.000 0.000
Co 0.000 1.420 0.000
O 2.281 1.420 2.281
CELL_PARAMETERS angstrom
4.562 0.000 0.000
0.000 2.840 0.000
0.000 0.000 4.562
```

Final energy in eV per atom: -3.9569
Crystal system: tetragonal
Space-group type: P4/mmm (123)